Record 1
! Mg2Tc | the Alexandria database | GGA-PBE | relaxed; values from VASP
! **Energy relative to the elements**: 0.609 eV per atom
! **D(E_F)**: 0.89 states/eV/atom
! **Total magnetization**: 0.00 μB/atom
&SYSTEM
  ibrav = 0, nat = 12, ntyp = 2
/
ATOMIC_SPECIES
Mg 24.30 Mg.upf
Tc 98.00 Tc.upf
CELL_PARAMETERS angstrom
-0.824 -3.314 -3.934
1.108 -5.057 0.579
-8.175 -1.456 2.938
ATOMIC_POSITIONS crystal
Mg 0.173 0.655 0.250
Mg 0.655 0.173 0.250
Mg 0.000 0.000 0.000
Mg 0.000 0.000 0.500
Mg 0.827 0.345 0.750
Mg 0.173 0.173 0.250
Mg 0.827 0.827 0.750
Mg 0.345 0.827 0.750
Tc 0.333 0.333 0.962
Tc 0.333 0.333 0.538
Tc 0.667 0.667 0.462
Tc 0.667 0.667 0.038

Record 2
! Cs4H2S | the Alexandria database | GGA-PBE | relaxed; values from VASP
! **VASP energy**: -2.541 eV/atom
! **D(E_F)**: 0.00 states/eV/atom
! **Total magnetization**: 0.00 μB/atom
&SYSTEM
  ibrav = 0, nat = 14, ntyp = 3
/
ATOMIC_SPECIES
Cs 132.91 Cs.upf
H 1.01 H.upf
S 32.06 S.upf
CELL_PARAMETERS angstrom
8.395 0.000 -3.121
-4.127 7.394 -2.917
-0.141 0.000 8.955
ATOMIC_POSITIONS crystal
Cs 0.244 0.313 0.926
Cs 0.137 0.819 0.324
Cs 0.506 0.181 0.318
Cs 0.682 0.187 0.863
Cs 0.068 0.681 0.756
Cs 0.074 0.319 0.387
Cs 0.676 0.813 0.494
Cs 0.613 0.687 0.932
H 0.375 0.757 0.632
H 0.368 0.743 0.125
H 0.382 0.257 0.625
H 0.875 0.243 0.618
S 0.000 0.000 0.000
S 0.750 0.500 0.250

Record 3
! LiLaYW2 | the Alexandria database | GGA-PBE | relaxed; values from VASP
! **Energy relative to the elements**: 1.998 eV per atom
! **D(E_F)**: 0.97 states/eV/atom
! **Total magnetization**: 0.00 μB/atom
&SYSTEM
  ibrav = 0, nat = 5, ntyp = 4
/
ATOMIC_SPECIES
Y 88.91 Y.upf
W 183.84 W.upf
Li 6.94 Li.upf
La 138.91 La.upf
CELL_PARAMETERS angstrom
4.905 0.000 0.000
0.000 5.406 0.000
0.000 0.000 4.905
ATOMIC_POSITIONS crystal
Y 0.000 0.500 0.000
W 0.500 0.000 0.000
W 0.000 0.000 0.500
Li 0.500 0.500 0.500
La 0.000 0.000 0.000

Record 4
! Sr2HPdPb | the Alexandria database | GGA-PBE | relaxed; values from VASP
! **VASP energy**: -3.634 eV/atom
! **D(E_F)**: 0.47 states/eV/atom
! **Total magnetization**: 0.00 μB/atom
&SYSTEM
  ibrav = 0, nat = 5, ntyp = 4
/
ATOMIC_SPECIES
Pd 106.42 Pd.upf
Sr 87.62 Sr.upf
Pb 207.20 Pb.upf
H 1.01 H.upf
CELL_PARAMETERS angstrom
-2.905 3.970 -2.622
-4.493 -3.299 -0.018
-1.057 1.421 3.323
ATOMIC_POSITIONS crystal
Pd 0.000 0.000 0.500
Sr 0.000 0.500 0.000
Sr 0.500 0.000 0.000
Pb 0.500 0.500 0.500
H 0.000 0.000 0.000

Record 5
! PmCuSi | the Alexandria database | GGA-PBE | relaxed; values from VASP
! **D(E_F)**: 0.20 states/eV/atom
! **Total magnetization**: 0.00 μB/atom
! **Formation energy without anion corrections**: -449 meV/atom
&SYSTEM
  ibrav = 0, nat = 3, ntyp = 3
/
ATOMIC_SPECIES
Cu 63.55 Cu.upf
Pm 145.00 Pm.upf
Si 28.09 Si.upf
CELL_PARAMETERS angstrom
4.450 0.000 0.000
2.225 3.854 0.000
2.225 1.285 3.633
ATOMIC_POSITIONS crystal
Cu 0.250 0.250 0.250
Pm 0.500 0.500 0.500
Si 0.000 0.000 0.000

Record 6
! PuPbSe2 | the Alexandria database | GGA-PBE | relaxed; values from VASP
! **D(E_F)**: 2.50 states/eV/atom
! **Total magnetization**: 1.50 μB/atom
! **Formation energy without anion corrections**: -973 meV/atom
&SYSTEM
  ibrav = 0, nat = 4, ntyp = 3
/
ATOMIC_SPECIES
Pu 244.00 Pu.upf
Se 78.96 Se.upf
Pb 207.20 Pb.upf
CELL_PARAMETERS angstrom
4.313 0.013 0.016
2.145 3.742 0.016
2.129 1.238 7.040
ATOMIC_POSITIONS crystal
Pu 0.000 0.000 0.000
Se 0.257 0.257 0.229
Se 0.743 0.743 0.771
Pb 0.500 0.500 0.500